# 1
Entry from Alexandria: a relaxed TaRe3Pd crystal (GGA-PBE).

Cell lengths 4.7201, 4.7201, 4.7201 Å; angles 90.00, 90.00, 90.00 degrees
With the nearest neighbours (Å) after each atom.
Sites, in units of the cell vectors:
Re  0.0000  0.5000  0.0000  2 Ta 2.36
Re  0.0000  0.0000  0.5000  2 Ta 2.36
Re  0.5000  0.0000  0.0000  2 Ta 2.36
Pd  0.5000  0.5000  0.5000  12 Re 3.34
Ta  0.0000  0.0000  0.0000  6 Re 2.36

Values from the calculation:
Uncorrected energy (eV/atom): -8.54
Theoretical density (g/cm³): 13.4
DFT formation energy (meV per atom): 2341
E above lowest polymorph (eV per atom): 0.000

# 2
Entry from Alexandria: a relaxed TaRePd2 crystal (GGA-PBE).

Cell lengths 3.7920, 3.7920, 9.8231 Å; angles 78.87, 78.87, 90.00 degrees
With the nearest neighbours (Å) after each atom.
Sites, in units of the cell vectors:
Re  0.0000  0.0000  0.0000  4 Ta 2.68, 4 Pd 2.71
Re  0.7500  0.2500  0.5000  4 Ta 2.68, 4 Pd 2.71
Pd  0.6290  0.1250  0.2500  4 Pd 2.66-2.70, 2 Re 2.71, 2 Ta 2.72
Pd  0.1210  0.6250  0.2500  4 Pd 2.66-2.70, 2 Re 2.71, 2 Ta 2.72
Pd  0.3750  0.3710  0.7500  4 Pd 2.66-2.70, 2 Re 2.71, 2 Ta 2.72
Pd  0.8750  0.8790  0.7500  4 Pd 2.66-2.70, 2 Re 2.71, 2 Ta 2.72
Ta  0.5000  0.5000  0.0000  4 Re 2.68, 4 Pd 2.72
Ta  0.2500  0.7500  0.5000  4 Re 2.68, 4 Pd 2.72

Values from the calculation:
Uncorrected energy (eV/atom): -8.35
Theoretical density (g/cm³): 14.2
DFT formation energy (meV per atom): 324
E above lowest polymorph (eV per atom): 0.025

# 3
Entry from Alexandria: a relaxed Ta2RePd crystal (GGA-PBE).

Cell lengths 4.5714, 4.5347, 4.5341 Å; angles 89.76, 60.07, 60.07 degrees
With the nearest neighbours (Å) after each atom.
Sites, in units of the cell vectors:
Re  0.5000  0.7500  0.2500  8 Ta 2.79
Pd  0.5000  0.2500  0.7500  8 Ta 2.79
Ta  0.0000  0.0003  0.9997  4 Re 2.79, 4 Pd 2.79
Ta  0.0000  0.4997  0.5003  4 Re 2.79, 4 Pd 2.79

Values from the calculation:
Uncorrected energy (eV/atom): -10.54
Theoretical density (g/cm³): 16.3
DFT formation energy (meV per atom): -205

# 4
Entry from Alexandria: a relaxed TaRe3Pd crystal (GGA-PBE).

Cell lengths 4.6292, 4.6292, 4.6292 Å; angles 90.00, 90.00, 90.00 degrees
With the nearest neighbours (Å) after each atom.
Sites, in units of the cell vectors:
Re  0.0000  0.5000  0.0000  2 Pd 2.31
Re  0.0000  0.0000  0.5000  2 Pd 2.31
Re  0.5000  0.0000  0.0000  2 Pd 2.31
Pd  0.0000  0.0000  0.0000  6 Re 2.31
Ta  0.5000  0.5000  0.5000  12 Re 3.27

Values from the calculation:
Uncorrected energy (eV/atom): -8.46
Theoretical density (g/cm³): 14.2
DFT formation energy (meV per atom): 2421
E above lowest polymorph (eV per atom): 0.080

# 5
Entry from Alexandria: a relaxed TaRePd2 crystal (GGA-PBE).

Cell lengths 4.4915, 4.4915, 4.4915 Å; angles 60.00, 60.00, 60.00 degrees
With the nearest neighbours (Å) after each atom.
Sites, in units of the cell vectors:
Re  0.5000  0.5000  0.5000  8 Pd 2.75
Pd  0.2500  0.2500  0.2500  4 Ta 2.75, 4 Re 2.75
Pd  0.7500  0.7500  0.7500  4 Re 2.75, 4 Ta 2.75
Ta  0.0000  0.0000  0.0000  8 Pd 2.75

Values from the calculation:
Uncorrected energy (eV/atom): -8.37
Theoretical density (g/cm³): 15.0
DFT formation energy (meV per atom): 299
E above lowest polymorph (eV per atom): 0.000

# 6
Entry from Alexandria: a relaxed Ta2RePd crystal (GGA-PBE).

Cell lengths 3.2404, 3.2404, 6.3523 Å; angles 90.00, 90.00, 90.00 degrees
With the nearest neighbours (Å) after each atom.
Sites, in units of the cell vectors:
Re  0.5000  0.5000  0.0000  8 Ta 2.75
Pd  0.5000  0.5000  0.5000  8 Ta 2.82
Ta  0.0000  0.0000  0.7592  4 Re 2.75, 4 Pd 2.82, 1 Ta 3.06
Ta  0.0000  0.0000  0.2408  4 Re 2.75, 4 Pd 2.82, 1 Ta 3.06

Values from the calculation:
Uncorrected energy (eV/atom): -10.57
Theoretical density (g/cm³): 16.3
DFT formation energy (meV per atom): -229

# 7
Entry from Alexandria: a relaxed Ta2RePd crystal (GGA-PBE).

Cell lengths 5.9088, 5.9088, 5.9088 Å; angles 58.55, 153.56, 128.78 degrees
With the nearest neighbours (Å) after each atom.
Sites, in units of the cell vectors:
Ta  0.0000  0.2481  0.2481  1 Pd 2.56, 1 Re 2.60, 2 Ta 2.70
Ta  0.0000  0.7519  0.7519  1 Pd 2.56, 1 Re 2.60, 2 Ta 2.70
Re  0.0000  0.5000  0.5000  2 Ta 2.60, 2 Re 2.70, 4 Pd 2.89
Pd  0.0000  0.0000  0.0000  2 Ta 2.56, 2 Pd 2.70

Values from the calculation:
Uncorrected energy (eV/atom): -9.71
Theoretical density (g/cm³): 15.3
DFT formation energy (meV per atom): 626

# 8
Entry from Alexandria: a relaxed Ta2RePd crystal (GGA-PBE).

Cell lengths 7.1703, 7.1703, 5.7902 Å; angles 51.74, 51.74, 90.00 degrees
With the nearest neighbours (Å) after each atom.
Sites, in units of the cell vectors:
Re  0.0000  0.0000  0.0000  4 Ta 2.60, 2 Pd 2.80
Re  0.7500  0.2500  0.5000  4 Ta 2.60, 2 Pd 2.80
Pd  0.5000  0.5000  0.0000  4 Ta 2.66, 2 Re 2.80
Pd  0.2500  0.7500  0.5000  4 Ta 2.66, 2 Re 2.80
Ta  0.6304  0.1250  0.2500  2 Re 2.60, 2 Pd 2.66, 2 Ta 2.80
Ta  0.1196  0.6250  0.2500  2 Re 2.60, 2 Pd 2.66, 2 Ta 2.80
Ta  0.3750  0.3696  0.7500  2 Re 2.60, 2 Pd 2.66, 2 Ta 2.80
Ta  0.8750  0.8804  0.7500  2 Re 2.60, 2 Pd 2.66, 2 Ta 2.80

Values from the calculation:
Uncorrected energy (eV/atom): -9.89
Theoretical density (g/cm³): 15.1
DFT formation energy (meV per atom): 444

# 9
Entry from Alexandria: a relaxed TaRe2Pd crystal (GGA-PBE).

Cell lengths 3.7586, 3.7586, 10.0732 Å; angles 79.25, 79.25, 90.00 degrees
With the nearest neighbours (Å) after each atom.
Sites, in units of the cell vectors:
Re  0.6000  0.1250  0.2500  4 Re 2.53-2.79, 2 Pd 2.74, 2 Ta 2.80
Re  0.1500  0.6250  0.2500  4 Re 2.53-2.79, 2 Pd 2.74, 2 Ta 2.80
Re  0.3750  0.4000  0.7500  4 Re 2.53-2.79, 2 Pd 2.74, 2 Ta 2.80
Re  0.8750  0.8500  0.7500  4 Re 2.53-2.79, 2 Pd 2.74, 2 Ta 2.80
Pd  0.5000  0.5000  0.0000  4 Ta 2.66, 4 Re 2.74
Pd  0.2500  0.7500  0.5000  4 Ta 2.66, 4 Re 2.74
Ta  0.0000  0.0000  0.0000  4 Pd 2.66, 4 Re 2.80
Ta  0.7500  0.2500  0.5000  4 Pd 2.66, 4 Re 2.80

Values from the calculation:
Uncorrected energy (eV/atom): -9.86
Theoretical density (g/cm³): 16.0
DFT formation energy (meV per atom): 622
E above lowest polymorph (eV per atom): 0.388

# 10
Entry from Alexandria: a relaxed TaRe2Pd4 crystal (GGA-PBE).

Cell lengths 4.8868, 4.8868, 7.1179 Å; angles 69.92, 69.92, 90.00 degrees
With the nearest neighbours (Å) after each atom.
Sites, in units of the cell vectors:
Re  0.5935  0.5935  0.8129  1 Re 2.33, 1 Pd 2.55
Re  0.4065  0.4065  0.1871  1 Re 2.33, 1 Pd 2.55
Pd  0.7986  0.7986  0.4028  1 Ta 2.51, 1 Re 2.55
Pd  0.2014  0.2014  0.5972  1 Ta 2.51, 1 Re 2.55
Pd  0.0000  0.5000  0.0000  2 Ta 2.44, 4 Re 2.71
Pd  0.5000  0.0000  0.0000  2 Ta 2.44, 4 Re 2.71
Ta  0.0000  0.0000  0.0000  6 Pd 2.44-2.51

Values from the calculation:
Uncorrected energy (eV/atom): -6.96
Theoretical density (g/cm³): 10.9
DFT formation energy (meV per atom): 1253

# 11
Entry from Alexandria: a relaxed TaRe2TcPd crystal (GGA-PBE).

Cell lengths 4.6313, 4.7345, 4.6313 Å; angles 90.00, 90.00, 90.00 degrees
With the nearest neighbours (Å) after each atom.
Sites, in units of the cell vectors:
Re  0.0000  0.0000  0.5000  2 Tc 2.32
Re  0.5000  0.0000  0.0000  2 Tc 2.32
Tc  0.0000  0.0000  0.0000  4 Re 2.32, 2 Ta 2.37
Pd  0.5000  0.5000  0.5000  4 Ta 3.27, 8 Re 3.31
Ta  0.0000  0.5000  0.0000  2 Tc 2.37

Values from the calculation:
Uncorrected energy (eV/atom): -8.75
Theoretical density (g/cm³): 12.4
DFT formation energy (meV per atom): 1707

# 12
Entry from Alexandria: a relaxed Ta2VRePd crystal (GGA-PBE).

Cell lengths 4.5692, 4.4345, 4.5692 Å; angles 90.00, 90.00, 90.00 degrees
With the nearest neighbours (Å) after each atom.
Sites, in units of the cell vectors:
Re  0.5000  0.5000  0.5000  8 Ta 3.18, 4 Pd 3.23
V  0.0000  0.0000  0.0000  2 Pd 2.22, 4 Ta 2.28
Pd  0.0000  0.5000  0.0000  2 V 2.22
Ta  0.0000  0.0000  0.5000  2 V 2.28
Ta  0.5000  0.0000  0.0000  2 V 2.28

Values from the calculation:
Uncorrected energy (eV/atom): -8.71
Theoretical density (g/cm³): 12.7
DFT formation energy (meV per atom): 1385

# 13
Entry from Alexandria: a relaxed Y2TaRePd crystal (GGA-PBE).

Cell lengths 5.3970, 4.7763, 5.3970 Å; angles 90.00, 90.00, 90.00 degrees
With the nearest neighbours (Å) after each atom.
Sites, in units of the cell vectors:
Y  0.0000  0.0000  0.5000  2 Re 2.70
Y  0.5000  0.0000  0.0000  2 Re 2.70
Re  0.0000  0.0000  0.0000  2 Ta 2.39
Pd  0.5000  0.5000  0.5000  8 Y 3.60, 4 Ta 3.82
Ta  0.0000  0.5000  0.0000  2 Re 2.39

Values from the calculation:
Uncorrected energy (eV/atom): -7.83
Theoretical density (g/cm³): 7.8
DFT formation energy (meV per atom): 654

# 14
Entry from Alexandria: a relaxed ZrTaRePd crystal (GGA-PBE).

Cell lengths 4.6226, 4.6226, 4.6226 Å; angles 60.00, 60.00, 60.00 degrees
With the nearest neighbours (Å) after each atom.
Sites, in units of the cell vectors:
Re  0.2500  0.2500  0.2500  4 Zr 2.83, 4 Ta 2.83
Zr  0.5000  0.5000  0.5000  4 Re 2.83, 4 Pd 2.83
Pd  0.7500  0.7500  0.7500  4 Ta 2.83, 4 Zr 2.83
Ta  0.0000  0.0000  0.0000  4 Re 2.83, 4 Pd 2.83

Values from the calculation:
Uncorrected energy (eV/atom): -9.82
Theoretical density (g/cm³): 13.4
DFT formation energy (meV per atom): -314

# 15
Entry from Alexandria: a relaxed ZrTa2RePd crystal (GGA-PBE).

Cell lengths 4.8189, 5.0446, 4.8189 Å; angles 90.00, 90.00, 90.00 degrees
With the nearest neighbours (Å) after each atom.
Sites, in units of the cell vectors:
Re  0.0000  0.0000  0.0000  4 Ta 2.41, 2 Zr 2.52
Zr  0.0000  0.5000  0.0000  2 Re 2.52
Pd  0.5000  0.5000  0.5000  4 Zr 3.41, 8 Ta 3.49
Ta  0.0000  0.0000  0.5000  2 Re 2.41
Ta  0.5000  0.0000  0.0000  2 Re 2.41

Values from the calculation:
Uncorrected energy (eV/atom): -8.93
Theoretical density (g/cm³): 10.6
DFT formation energy (meV per atom): 1051

# 16
Entry from Alexandria: a relaxed Re2TcPd crystal (GGA-PBE).

Cell lengths 7.0811, 7.0811, 5.6665 Å; angles 51.33, 51.33, 90.00 degrees
With the nearest neighbours (Å) after each atom.
Sites, in units of the cell vectors:
Re  0.5965  0.1250  0.2500  2 Tc 2.46, 2 Re 2.68, 2 Pd 2.73
Re  0.1535  0.6250  0.2500  2 Tc 2.46, 2 Re 2.68, 2 Pd 2.73
Re  0.3750  0.4035  0.7500  2 Tc 2.46, 2 Re 2.68, 2 Pd 2.73
Re  0.8750  0.8465  0.7500  2 Tc 2.46, 2 Re 2.68, 2 Pd 2.73
Tc  0.5000  0.5000  0.0000  4 Re 2.46, 2 Pd 2.65
Tc  0.2500  0.7500  0.5000  4 Re 2.46, 2 Pd 2.65
Pd  0.0000  0.0000  0.0000  2 Tc 2.65, 4 Re 2.73
Pd  0.7500  0.2500  0.5000  2 Tc 2.65, 4 Re 2.73

Values from the calculation:
Uncorrected energy (eV/atom): -9.29
Theoretical density (g/cm³): 14.4
DFT formation energy (meV per atom): 822
E above lowest polymorph (eV per atom): 0.756

# 17
Entry from Alexandria: a relaxed ReTc2Pd crystal (GGA-PBE).

Cell lengths 7.0773, 7.0773, 5.6640 Å; angles 51.34, 51.34, 90.00 degrees
With the nearest neighbours (Å) after each atom.
Sites, in units of the cell vectors:
Re  0.0000  0.0000  0.0000  4 Tc 2.45, 2 Pd 2.65
Re  0.7500  0.2500  0.5000  4 Tc 2.45, 2 Pd 2.65
Tc  0.6552  0.1250  0.2500  2 Re 2.45, 2 Tc 2.69, 2 Pd 2.74
Tc  0.0948  0.6250  0.2500  2 Re 2.45, 2 Tc 2.69, 2 Pd 2.74
Tc  0.3750  0.3448  0.7500  2 Re 2.45, 2 Tc 2.69, 2 Pd 2.74
Tc  0.8750  0.9052  0.7500  2 Re 2.45, 2 Tc 2.69, 2 Pd 2.74
Pd  0.5000  0.5000  0.0000  2 Re 2.65, 4 Tc 2.74
Pd  0.2500  0.7500  0.5000  2 Re 2.65, 4 Tc 2.74

Values from the calculation:
Uncorrected energy (eV/atom): -8.87
Theoretical density (g/cm³): 12.2
DFT formation energy (meV per atom): 719
E above lowest polymorph (eV per atom): 0.661

# 18
Entry from Alexandria: a relaxed ReTc2Pd crystal (GGA-PBE).

Cell lengths 3.9465, 7.3085, 4.8502 Å; angles 90.00, 114.01, 90.00 degrees
With the nearest neighbours (Å) after each atom.
Sites, in units of the cell vectors:
Re  0.2399  0.2500  0.4796  6 Tc 2.53-2.57, 3 Pd 2.60-2.69
Re  0.7601  0.7500  0.5204  6 Tc 2.53-2.57, 3 Pd 2.60-2.69
Tc  0.6364  0.4377  0.2731  3 Re 2.53-2.57, 2 Tc 2.59-2.74
Tc  0.3636  0.5623  0.7269  3 Re 2.53-2.57, 2 Tc 2.59-2.74
Tc  0.6364  0.0623  0.2731  3 Re 2.53-2.57, 2 Tc 2.59-2.74
Tc  0.3636  0.9377  0.7269  3 Re 2.53-2.57, 2 Tc 2.59-2.74
Pd  0.0544  0.7500  0.1084  3 Re 2.60-2.69
Pd  0.9456  0.2500  0.8916  3 Re 2.60-2.69

Values from the calculation:
Uncorrected energy (eV/atom): -9.41
Theoretical density (g/cm³): 12.7
DFT formation energy (meV per atom): 188
E above lowest polymorph (eV per atom): 0.130

# 19
Entry from Alexandria: a relaxed Re2TcPd crystal (GGA-PBE).

Cell lengths 2.7495, 2.7495, 9.2481 Å; angles 81.45, 81.45, 60.00 degrees
With the nearest neighbours (Å) after each atom.
Sites, in units of the cell vectors:
Re  0.7480  0.7480  0.7559  3 Tc 2.73, 6 Re 2.75, 3 Pd 2.82
Re  0.2520  0.2520  0.2441  3 Tc 2.73, 6 Re 2.75, 3 Pd 2.82
Tc  0.0000  0.0000  0.0000  6 Re 2.73, 6 Tc 2.75
Pd  0.5000  0.5000  0.5000  6 Pd 2.75, 6 Re 2.82

Values from the calculation:
Uncorrected energy (eV/atom): -10.05
Theoretical density (g/cm³): 16.1
DFT formation energy (meV per atom): 66
E above lowest polymorph (eV per atom): 0.000

# 20
Entry from Alexandria: a relaxed ReTc2Pd crystal (GGA-PBE).

Cell lengths 3.8618, 3.8982, 3.8982 Å; angles 90.00, 90.00, 90.00 degrees
With the nearest neighbours (Å) after each atom.
Sites, in units of the cell vectors:
Re  0.5000  0.5000  0.5000  8 Tc 2.74, 4 Pd 2.76
Tc  0.0000  0.0000  0.5000  4 Re 2.74, 4 Pd 2.74, 4 Tc 2.76
Tc  0.0000  0.5000  0.0000  4 Pd 2.74, 4 Re 2.74, 4 Tc 2.76
Pd  0.5000  0.0000  0.0000  8 Tc 2.74, 4 Re 2.76

Values from the calculation:
Uncorrected energy (eV/atom): -9.52
Theoretical density (g/cm³): 13.8
DFT formation energy (meV per atom): 75
E above lowest polymorph (eV per atom): 0.017